A plane-wave DFT calculation with PBE was carried out for a geometry-optimized AgRuPt2 structure.

Calculated values
Energy relative to the elements in eV per formula unit: 1.24
Spin magnetization in μB/cell: 0.5
Space group: No. 99
Excess energy over the best structure of this formula in the dataset in kcal/mol of atoms: 6.49
DOS at the Fermi energy in states/eV/f.u.: 5.0

abc: 3.311 3.311 5.808
angles: 90.00 90.00 90.00
Fractional positions:
Ag1 0.000 0.000 0.000
Ru1 0.500 0.500 0.730
Pt1 0.000 0.000 0.510
Pt2 0.500 0.500 0.258


A plane-wave DFT calculation with PBE was carried out for a geometry-optimized YEr2CdN structure.

Calculated values
Spin magnetization in μB/cell: 0.0
Formation energy from raw total energies in meV/atom: -871
Space group: No. 123
DOS at the Fermi energy in states/eV/f.u.: 4.7

abc: 4.774 4.774 4.841
angles: 90.00 90.00 90.00
Fractional positions:
Y1 0.000 0.000 0.000
Er1 0.000 0.500 0.500
Er2 0.500 0.000 0.500
Cd1 0.500 0.500 0.000
N1 0.000 0.000 0.500


A plane-wave DFT calculation with PBE was carried out for a geometry-optimized Ca5In2Ge2 structure.

Calculated values
Energy relative to the elements in eV per formula unit: -4.48
Spin magnetization in μB/cell: 0.0
Space group: No. 64
DOS at the Fermi energy in states/eV/f.u.: 7.4

abc: 9.505 9.505 7.723
angles: 90.00 90.00 48.17
Fractional positions:
Ca1 0.000 0.000 0.000
Ca2 0.057 0.698 0.678
Ca3 0.198 0.557 0.178
Ca4 0.302 0.943 0.678
Ca5 0.443 0.802 0.178
Ca6 0.500 0.500 0.500
Ca7 0.557 0.198 0.822
Ca8 0.698 0.057 0.322
Ca9 0.802 0.443 0.822
Ca10 0.943 0.302 0.322
In1 0.222 0.222 0.000
In2 0.278 0.278 0.500
In3 0.722 0.722 0.500
In4 0.778 0.778 0.000
Ge1 0.117 0.883 0.382
Ge2 0.383 0.617 0.882
Ge3 0.617 0.383 0.118
Ge4 0.883 0.117 0.618


A plane-wave DFT calculation with PBE was carried out for a geometry-optimized NpCdBO5 structure.

Calculated values
Spin magnetization in μB/cell: 4.0
Formation energy from raw total energies in meV/atom: -2202
Space group: No. 15
DOS at the Fermi energy in states/eV/f.u.: 5.6

abc: 5.467 5.467 7.810
angles: 104.81 104.81 103.14
Fractional positions:
Np1 0.000 0.000 0.000
Np2 0.000 0.000 0.500
Cd1 0.352 0.648 0.750
Cd2 0.648 0.352 0.250
B1 0.316 0.684 0.250
B2 0.684 0.316 0.750
O1 0.101 0.899 0.750
O2 0.118 0.688 0.352
O3 0.259 0.413 0.112
O4 0.312 0.882 0.148
O5 0.413 0.259 0.612
O6 0.587 0.741 0.388
O7 0.688 0.118 0.852
O8 0.741 0.587 0.888
O9 0.882 0.312 0.648
O10 0.899 0.101 0.250


A plane-wave DFT calculation with PBE was carried out for a geometry-optimized LaPmSiIr structure.

Calculated values
Spin magnetization in μB/cell: 0.0
Formation energy from raw total energies in meV/atom: -765
Space group: No. 38
DOS at the Fermi energy in states/eV/f.u.: 3.5

abc: 4.285 5.625 5.625
angles: 46.24 90.00 90.00
Fractional positions:
La1 0.000 0.000 0.000
Pm1 0.500 0.287 0.287
Si1 0.500 0.589 0.589
Ir1 0.000 0.713 0.713


A plane-wave DFT calculation with PBE was carried out for a geometry-optimized MgScGe structure.

Calculated values
Energy relative to the elements in eV per formula unit: -1.50
Spin magnetization in μB/cell: 0.0
Space group: No. 129
DOS at the Fermi energy in states/eV/f.u.: 2.8

abc: 4.028 4.028 7.358
angles: 90.00 90.00 90.00
Fractional positions:
Mg1 0.250 0.750 0.000
Mg2 0.750 0.250 0.000
Sc1 0.250 0.250 0.357
Sc2 0.750 0.750 0.643
Ge1 0.250 0.250 0.733
Ge2 0.750 0.750 0.267


A plane-wave DFT calculation with PBE was carried out for a geometry-optimized Cs3MoBr structure.

Calculated values
Spin magnetization in μB/cell: 5.8
Formation energy from raw total energies in meV/atom: 307
Space group: No. 221
Excess energy over the best structure of this formula in the dataset in kcal/mol of atoms: 0.00
DOS at the Fermi energy in states/eV/f.u.: 2.8

abc: 6.957 6.957 6.957
angles: 90.00 90.00 90.00
Fractional positions:
Cs1 0.000 0.000 0.500
Cs2 0.000 0.500 0.000
Cs3 0.500 0.000 0.000
Mo1 0.500 0.500 0.500
Br1 0.000 0.000 0.000


A plane-wave DFT calculation with PBE was carried out for a geometry-optimized Tc2PtSe structure.

Calculated values
Spin magnetization in μB/cell: 0.0
Formation energy from raw total energies in meV/atom: 374
Space group: No. 35
DOS at the Fermi energy in states/eV/f.u.: 4.8

abc: 2.757 2.757 9.479
angles: 90.00 90.00 116.08
Fractional positions:
Tc1 0.000 0.000 0.000
Tc2 0.500 0.500 0.225
Pt1 0.500 0.500 0.752
Se1 0.000 0.000 0.463


A plane-wave DFT calculation with PBE was carried out for a geometry-optimized KRbYNb2 structure.

Calculated values
Energy relative to the elements in eV per formula unit: 11.08
Spin magnetization in μB/cell: 3.3
Space group: No. 123
DOS at the Fermi energy in states/eV/f.u.: 5.3

abc: 5.174 5.174 5.542
angles: 90.00 90.00 90.00
Fractional positions:
K1 0.000 0.000 0.000
Rb1 0.000 0.000 0.500
Y1 0.500 0.500 0.500
Nb1 0.000 0.500 0.000
Nb2 0.500 0.000 0.000


A plane-wave DFT calculation with PBE was carried out for a geometry-optimized K3HfSn2Te6 structure.

Calculated values
Spin magnetization in μB/cell: 0.0
Formation energy from raw total energies in meV/atom: -751
Space group: No. 12
DOS at the Fermi energy in states/eV/f.u.: 5.2

abc: 7.761 7.761 8.560
angles: 98.72 98.72 120.02
Fractional positions:
K1 0.000 0.000 0.000
K2 0.326 0.674 0.000
K3 0.674 0.326 0.000
Hf1 0.500 0.500 0.500
Sn1 0.166 0.834 0.500
Sn2 0.834 0.166 0.500
Te1 0.122 0.433 0.300
Te2 0.257 0.257 0.702
Te3 0.433 0.122 0.300
Te4 0.567 0.878 0.700
Te5 0.743 0.743 0.298
Te6 0.878 0.567 0.700


A plane-wave DFT calculation with PBE was carried out for a geometry-optimized Ce6PdRu5 structure.

Calculated values
Energy relative to the elements in eV per formula unit: -3.74
Spin magnetization in μB/cell: 0.0
Space group: No. 12
DOS at the Fermi energy in states/eV/f.u.: 10.4

abc: 6.581 6.581 7.074
angles: 98.17 98.17 116.35
Fractional positions:
Ce1 0.061 0.408 0.726
Ce2 0.219 0.219 0.222
Ce3 0.408 0.061 0.726
Ce4 0.592 0.939 0.274
Ce5 0.781 0.781 0.778
Ce6 0.939 0.592 0.274
Pd1 0.500 0.500 0.000
Ru1 0.000 0.000 0.500
Ru2 0.193 0.807 0.000
Ru3 0.369 0.631 0.500
Ru4 0.631 0.369 0.500
Ru5 0.807 0.193 0.000


A plane-wave DFT calculation with PBE was carried out for a geometry-optimized Cs4PrTh3S8 structure.

Calculated values
Spin magnetization in μB/cell: 0.0
Formation energy from raw total energies in meV/atom: -1687
Space group: No. 166
DOS at the Fermi energy in states/eV/f.u.: 10.3

abc: 9.487 9.487 9.487
angles: 52.45 52.45 52.45
Fractional positions:
Cs1 0.000 0.000 0.000
Cs2 0.000 0.500 0.500
Cs3 0.500 0.000 0.500
Cs4 0.500 0.500 0.000
Pr1 0.500 0.500 0.500
Th1 0.000 0.000 0.500
Th2 0.000 0.500 0.000
Th3 0.500 0.000 0.000
S1 0.222 0.734 0.734
S2 0.230 0.230 0.230
S3 0.266 0.266 0.778
S4 0.266 0.778 0.266
S5 0.734 0.222 0.734
S6 0.734 0.734 0.222
S7 0.770 0.770 0.770
S8 0.778 0.266 0.266


A plane-wave DFT calculation with PBE was carried out for a geometry-optimized MgFe structure.

Calculated values
Energy relative to the elements in eV per formula unit: 1.18
Spin magnetization in μB/cell: 2.5
Space group: No. 194
DOS at the Fermi energy in states/eV/f.u.: 2.2

abc: 4.455 4.455 4.155
angles: 90.00 90.00 120.00
Fractional positions:
Mg1 0.333 0.667 0.250
Mg2 0.667 0.333 0.750
Fe1 0.000 0.000 0.000
Fe2 0.000 0.000 0.500


A plane-wave DFT calculation with PBE was carried out for a geometry-optimized ZnAg2Pt structure.

Calculated values
Energy relative to the elements in eV per formula unit: -0.45
Spin magnetization in μB/cell: 0.0
Space group: No. 139
DOS at the Fermi energy in states/eV/f.u.: 1.1

abc: 5.039 5.039 5.039
angles: 133.88 133.88 67.28
Fractional positions:
Zn1 0.000 0.000 0.000
Ag1 0.250 0.750 0.500
Ag2 0.750 0.250 0.500
Pt1 0.500 0.500 0.000


A plane-wave DFT calculation with PBE was carried out for a geometry-optimized KTe2Pb2 structure.

Calculated values
Spin magnetization in μB/cell: 0.0
Formation energy from raw total energies in meV/atom: -384
Space group: No. 15
Excess energy over the best structure of this formula in the dataset in kcal/mol of atoms: 1.76
DOS at the Fermi energy in states/eV/f.u.: 2.5

abc: 8.545 8.545 8.047
angles: 116.60 116.60 98.81
Fractional positions:
K1 0.125 0.875 0.750
K2 0.875 0.125 0.250
Te1 0.148 0.852 0.250
Te2 0.399 0.601 0.750
Te3 0.601 0.399 0.250
Te4 0.852 0.148 0.750
Pb1 0.233 0.484 0.250
Pb2 0.484 0.233 0.750
Pb3 0.516 0.767 0.250
Pb4 0.767 0.516 0.750


A plane-wave DFT calculation with PBE was carried out for a geometry-optimized Sr2YCo structure.

Calculated values
Energy relative to the elements in eV per formula unit: 0.84
Spin magnetization in μB/cell: 0.0
Space group: No. 71
Excess energy over the best structure of this formula in the dataset in kcal/mol of atoms: 1.94
DOS at the Fermi energy in states/eV/f.u.: 2.6

abc: 9.473 9.473 9.473
angles: 158.39 153.86 34.17
Fractional positions:
Sr1 0.156 0.156 0.000
Sr2 0.844 0.844 0.000
Y1 0.500 0.000 0.500
Co1 0.000 0.500 0.500


A plane-wave DFT calculation with PBE was carried out for a geometry-optimized Li2AlAu structure.

Calculated values
Energy relative to the elements in eV per formula unit: -1.68
Spin magnetization in μB/cell: 0.0
Space group: No. 47
DOS at the Fermi energy in states/eV/f.u.: 0.8

abc: 3.684 3.916 4.328
angles: 90.00 90.00 90.00
Fractional positions:
Li1 0.000 0.000 0.000
Li2 0.500 0.500 0.000
Al1 0.000 0.500 0.500
Au1 0.500 0.000 0.500


A plane-wave DFT calculation with PBE was carried out for a geometry-optimized ScTc2Rh structure.

Calculated values
Energy relative to the elements in eV per formula unit: 0.66
Spin magnetization in μB/cell: 0.0
Space group: No. 166
Excess energy over the best structure of this formula in the dataset in kcal/mol of atoms: 8.74
DOS at the Fermi energy in states/eV/f.u.: 6.0

abc: 9.272 9.272 9.272
angles: 17.55 17.55 17.55
Fractional positions:
Sc1 0.000 0.000 0.000
Tc1 0.246 0.246 0.246
Tc2 0.754 0.754 0.754
Rh1 0.500 0.500 0.500


A plane-wave DFT calculation with PBE was carried out for a geometry-optimized VGe2BiW structure.

Calculated values
Energy relative to the elements in eV per formula unit: 6.49
Spin magnetization in μB/cell: 5.6
Space group: No. 123
DOS at the Fermi energy in states/eV/f.u.: 5.6

abc: 4.751 4.751 5.260
angles: 90.00 90.00 90.00
Fractional positions:
V1 0.000 0.000 0.000
Ge1 0.000 0.500 0.000
Ge2 0.500 0.000 0.000
Bi1 0.000 0.000 0.500
W1 0.500 0.500 0.500


A plane-wave DFT calculation with PBE was carried out for a geometry-optimized LaMnOs2 structure.

Calculated values
Energy relative to the elements in eV per formula unit: 2.36
Spin magnetization in μB/cell: 3.7
Space group: No. 123
Excess energy over the best structure of this formula in the dataset in kcal/mol of atoms: 7.18
DOS at the Fermi energy in states/eV/f.u.: 3.6

abc: 4.330 4.330 3.862
angles: 90.00 90.00 90.00
Fractional positions:
La1 0.000 0.000 0.000
Mn1 0.500 0.500 0.000
Os1 0.000 0.500 0.500
Os2 0.500 0.000 0.500